BaSc2BeNb: relaxed, GGA-PBE.

N(E_F) = 6.9 states/eV/cell

CIF file:
```
data_BaSc2BeNb
_space_group_name_H-M_alt 'P 4/m m m'
_space_group_IT_number 123
_space_group_name_Hall '-P 4 2'
_cell_length_a 5.207
_cell_length_b 5.207
_cell_length_c 5.120
_cell_angle_alpha 90.00
_cell_angle_beta 90.00
_cell_angle_gamma 90.00
loop_
_atom_site_label
_atom_site_type_symbol
_atom_site_fract_x
_atom_site_fract_y
_atom_site_fract_z
Ba1 Ba 0.000 0.000 0.000
Sc1 Sc 0.000 0.500 0.000
Be1 Be 0.500 0.500 0.500
Nb1 Nb 0.000 0.000 0.500
```

***

Ba2SrBeNb: relaxed, GGA-PBE.

N(E_F) = 5.1 states/eV/cell

CIF file:
```
data_Ba2SrBeNb
_space_group_name_H-M_alt 'P 4/m m m'
_space_group_IT_number 123
_space_group_name_Hall '-P 4 2'
_cell_length_a 5.991
_cell_length_b 5.991
_cell_length_c 5.947
_cell_angle_alpha 90.00
_cell_angle_beta 90.00
_cell_angle_gamma 90.00
loop_
_atom_site_label
_atom_site_type_symbol
_atom_site_fract_x
_atom_site_fract_y
_atom_site_fract_z
Ba1 Ba 0.000 0.500 0.000
Sr1 Sr 0.000 0.000 0.500
Be1 Be 0.500 0.500 0.500
Nb1 Nb 0.000 0.000 0.000
```

***

BaBe2NbW: relaxed, GGA-PBE.

N(E_F) = 5.6 states/eV/cell

CIF file:
```
data_BaBe2NbW
_space_group_name_H-M_alt 'P 4/m m m'
_space_group_IT_number 123
_space_group_name_Hall '-P 4 2'
_cell_length_a 4.957
_cell_length_b 4.957
_cell_length_c 4.795
_cell_angle_alpha 90.00
_cell_angle_beta 90.00
_cell_angle_gamma 90.00
loop_
_atom_site_label
_atom_site_type_symbol
_atom_site_fract_x
_atom_site_fract_y
_atom_site_fract_z
Ba1 Ba 0.000 0.000 0.000
Be1 Be 0.000 0.500 0.500
Nb1 Nb 0.500 0.500 0.500
W1 W 0.500 0.500 0.000
```

***

| no. | formation enthalpy at 0 K (meV per atom) |
| --- | --- |
| 1 | 2052 |
| 2 | 1204 |
| 3 | 1217 |